Record 1
VASP calculation (PBE-GGA) on a geometry-optimized NiPWCl2 structure.

a b c (Å): 4.352 4.352 4.864
angles (deg): 90.00 90.00 90.00
Last column: magnetic moment on the atom in μB.
Element x y z (fractional)
Ni1 0.000 0.000 0.000  -0.08
P1 0.000 0.000 0.500  -0.19
W1 0.500 0.500 0.500  2.76
Cl1 0.000 0.500 0.000  -0.01
Cl2 0.500 0.000 0.000  -0.01

Properties
* space group: P4/mmm
* offset from the most stable computed form: 0.247 eV/atom

***

Record 2
VASP calculation (PBE-GGA) on a geometry-optimized NiPWCl2 structure.

a b c (Å): 4.713 4.713 4.819
angles (deg): 90.00 90.00 90.00
Last column: magnetic moment on the atom in μB.
Element x y z (fractional)
Ni1 0.500 0.500 0.500  0.80
P1 0.000 0.000 0.500  0.00
W1 0.000 0.000 0.000  -0.13
Cl1 0.000 0.500 0.000  0.00
Cl2 0.500 0.000 0.000  0.00

Properties
* space group: P4/mmm
* offset from the most stable computed form: 0.000 eV/atom

***

Record 3
VASP calculation (PBE-GGA) on a geometry-optimized YNiPCl2 structure.

a b c (Å): 5.111 5.111 5.652
angles (deg): 90.00 90.00 90.00
Last column: magnetic moment on the atom in μB.
Element x y z (fractional)
Y1 0.000 0.000 0.000  0.02
Ni1 0.500 0.500 0.500  1.10
P1 0.000 0.000 0.500  0.28
Cl1 0.000 0.500 0.000  0.02
Cl2 0.500 0.000 0.000  0.02

Properties
* space group: P4/mmm
* offset from the most stable computed form: 0.445 eV/atom

***

Record 4
VASP calculation (PBE-GGA) on a geometry-optimized YNiPCl2 structure.

a b c (Å): 4.444 4.444 4.936
angles (deg): 90.00 90.00 90.00
Element x y z (fractional)
Y1 0.500 0.500 0.500
Ni1 0.000 0.000 0.000
P1 0.000 0.000 0.500
Cl1 0.000 0.500 0.000
Cl2 0.500 0.000 0.000

Properties
* space group: P4/mmm
* offset from the most stable computed form: 0.000 eV/atom

***

Record 5
VASP calculation (PBE-GGA) on a geometry-optimized ZrNiP2Cl structure.

a b c (Å): 5.058 5.058 4.908
angles (deg): 90.00 90.00 90.00
Element x y z (fractional)
Ni1 0.500 0.500 0.500
P1 0.000 0.500 0.000
P2 0.500 0.000 0.000
Zr1 0.000 0.000 0.000
Cl1 0.000 0.000 0.500

Properties
* space group: P4/mmm
* offset from the most stable computed form: 0.433 eV/atom

***

Record 6
VASP calculation (PBE-GGA) on a geometry-optimized ZrNiPCl2 structure.

a b c (Å): 4.369 4.369 4.859
angles (deg): 90.00 90.00 90.00
Last column: magnetic moment on the atom in μB.
Element x y z (fractional)
Ni1 0.000 0.000 0.000  0.03
P1 0.000 0.000 0.500  -0.04
Zr1 0.500 0.500 0.500  0.65
Cl1 0.000 0.500 0.000  -0.02
Cl2 0.500 0.000 0.000  -0.02

Properties
* space group: P4/mmm
* offset from the most stable computed form: 0.000 eV/atom

***

Record 7
VASP calculation (PBE-GGA) on a geometry-optimized ZrNiP2Cl structure.

a b c (Å): 4.439 4.439 4.451
angles (deg): 90.00 90.00 90.00
Element x y z (fractional)
Ni1 0.000 0.000 0.000
P1 0.000 0.500 0.000
P2 0.500 0.000 0.000
Zr1 0.500 0.500 0.500
Cl1 0.000 0.000 0.500

Properties
* space group: P4/mmm
* offset from the most stable computed form: 0.000 eV/atom

***

Record 8
VASP calculation (PBE-GGA) on a geometry-optimized ZrNiPCl2 structure.

a b c (Å): 4.929 4.929 5.221
angles (deg): 90.00 90.00 90.00
Last column: magnetic moment on the atom in μB.
Element x y z (fractional)
Ni1 0.500 0.500 0.500  1.01
P1 0.000 0.000 0.500  0.00
Zr1 0.000 0.000 0.000  0.03
Cl1 0.000 0.500 0.000  0.00
Cl2 0.500 0.000 0.000  0.00

Properties
* space group: P4/mmm
* offset from the most stable computed form: 0.008 eV/atom

***

Record 9
VASP calculation (PBE-GGA) on a geometry-optimized ZrNiP2Cl structure.

a b c (Å): 5.001 5.133 5.001
angles (deg): 90.00 90.00 90.00
Last column: magnetic moment on the atom in μB.
Element x y z (fractional)
Ni1 0.000 0.500 0.000  0.96
P1 0.000 0.000 0.500  0.20
P2 0.500 0.000 0.000  0.15
Zr1 0.000 0.000 0.000  0.06
Cl1 0.500 0.500 0.500  0.26

Properties
* space group: P4/mmm
* offset from the most stable computed form: 0.788 eV/atom

***

Record 10
VASP calculation (PBE-GGA) on a geometry-optimized PaNiCl6 structure.

a b c (Å): 6.888 6.899 6.899
angles (deg): 120.35 103.83 103.83
Last column: magnetic moment on the atom in μB.
Element x y z (fractional)
Pa1 0.500 0.500 0.500  -0.14
Ni1 0.000 0.000 0.000  0.88
Cl1 0.775 0.631 0.922  0.04
Cl2 0.775 0.922 0.631  0.04
Cl3 0.225 0.078 0.369  0.04
Cl4 0.225 0.369 0.078  0.04
Cl5 0.713 0.287 0.287  0.00
Cl6 0.287 0.713 0.713  0.00

Properties
* space group: C2/m
* offset from the most stable computed form: 0.000 eV/atom

***

Record 11
VASP calculation (PBE-GGA) on a geometry-optimized PaNiCl structure.

a b c (Å): 3.592 3.592 11.226
angles (deg): 80.79 90.00 90.00
Element x y z (fractional)
Cl1 0.750 0.676 0.649
Cl2 0.250 0.324 0.351
Ni1 0.250 0.962 0.075
Ni2 0.750 0.038 0.925
Pa1 0.250 0.581 0.838
Pa2 0.750 0.419 0.162

Properties
* space group: Cmcm

***

Record 12
VASP calculation (PBE-GGA) on a geometry-optimized PaNiCl6 structure.

a b c (Å): 6.537 6.537 6.938
angles (deg): 61.88 61.88 59.99
Last column: magnetic moment on the atom in μB.
Element x y z (fractional)
Pa1 0.500 0.500 0.500  -0.27
Ni1 0.000 0.000 0.000  1.03
Cl1 0.115 0.370 0.757  0.03
Cl2 0.757 0.116 0.757  0.03
Cl3 0.630 0.243 0.243  0.03
Cl4 0.243 0.884 0.243  0.03
Cl5 0.885 0.630 0.243  0.03
Cl6 0.370 0.757 0.757  0.03

Properties
* space group: R-3
* offset from the most stable computed form: 0.031 eV/atom

***

Result set for electronic total energy: -4.580, -4.827, -4.466, -4.911, -4.923, -4.733, -5.356, -4.725, -4.568, -4.713, -6.541, -4.682 eV per atom, one per record in the order listed.